# PrTlPt PBE-GGA relaxed
data_PrTlPt
_cell_length_a 14.102
_cell_length_b 3.947
_cell_length_c 8.000
_cell_angle_alpha 90.00
_cell_angle_beta 90.00
_cell_angle_gamma 90.00
_space_group_name_H-M_alt 'P m m a'
_space_group_IT_number 51
loop_
_space_group_symop_operation_xyz
'x,y,z'
'-x,-y,-z'
'-x+1/2,-y,z'
'x+1/2,y,-z'
'x+1/2,-y,-z'
'-x+1/2,y,z'
'-x,y,-z'
'x,-y,z'
loop_
_atom_site_label
_atom_site_fract_x
_atom_site_fract_y
_atom_site_fract_z
Pr1 0.048 0.000 0.225
Pr2 0.250 0.000 0.844
Tl1 0.115 0.500 0.570
Tl2 0.250 0.500 0.189
Pt1 0.095 0.500 0.939
Pt2 0.250 0.000 0.450
# Total DFT energy (no corrections) in eV/cell: -92.71
# E_form in eV per atom: -0.7549